(1)
# Pm2Zn2In3

A relaxed Pm2Zn2In3 crystal (PBE-GGA, the Alexandria database).

Computed properties:
As for the energy relative to the elements: -380 meV per atom. The calculation puts the size of the total moment at 0.000 μB per atom. As for the raw total energy: -0.1204 hartree per atom. The calculation puts the energy above the most stable polymorph in this dataset at 0.0 meV per atom.

abc: 10.346 10.346 7.323
angles: 90.00 90.00 154.06
Fractional positions:
1 Pm 0.045 0.955 0.750
2 Pm 0.161 0.839 0.250
3 Pm 0.839 0.161 0.750
4 Pm 0.955 0.045 0.250
5 Zn 0.310 0.690 0.062
6 Zn 0.310 0.690 0.438
7 Zn 0.690 0.310 0.562
8 Zn 0.690 0.310 0.938
9 In 0.220 0.780 0.750
10 In 0.434 0.566 0.559
11 In 0.434 0.566 0.941
12 In 0.566 0.434 0.059
13 In 0.566 0.434 0.441
14 In 0.780 0.220 0.250

=====

(2)
# Be2ZnCu5Ag2

A relaxed Be2ZnCu5Ag2 crystal (PBE-GGA, the Alexandria database).

Computed properties:
As for the energy relative to the elements: 35 meV per atom. The calculation puts the size of the total moment at 0.000 μB per atom. As for the raw total energy: -0.1270 hartree per atom.

abc: 8.527 8.527 3.492
angles: 90.00 90.00 90.00
Fractional positions:
1 Be 0.119 0.381 0.000
2 Be 0.381 0.881 0.000
3 Be 0.619 0.119 0.000
4 Be 0.881 0.619 0.000
5 Zn 0.000 0.000 0.000
6 Zn 0.500 0.500 0.000
7 Cu 0.000 0.500 0.500
8 Cu 0.071 0.208 0.500
9 Cu 0.208 0.929 0.500
10 Cu 0.292 0.429 0.500
11 Cu 0.429 0.708 0.500
12 Cu 0.500 0.000 0.500
13 Cu 0.571 0.292 0.500
14 Cu 0.708 0.571 0.500
15 Cu 0.792 0.071 0.500
16 Cu 0.929 0.792 0.500
17 Ag 0.175 0.675 0.000
18 Ag 0.325 0.175 0.000
19 Ag 0.675 0.825 0.000
20 Ag 0.825 0.325 0.000

=====

Among the records above, which one has the highest energy relative to the elements?
Be2ZnCu5Ag2

=====

size of the total moment of number 2 (Be2ZnCu5Ag2)?
0.000 μB per atom